Record 1
# VFe2SnH PBE-GGA optimized geometry
# - DFT total energy: -6.664 eV per atom
data_VFe2SnH
_chemical_formula_sum 'V1 Fe2 Sn1 H1'
_cell_length_a 3.887
_cell_length_b 3.887
_cell_length_c 3.921
_cell_angle_alpha 90.00
_cell_angle_beta 90.00
_cell_angle_gamma 90.00
_space_group_name_H-M_alt 'P 4/m m m'
_space_group_IT_number 123
_space_group_name_Hall '-P 4 2'
loop_
_atom_site_label
_atom_site_type_symbol
_atom_site_fract_x
_atom_site_fract_y
_atom_site_fract_z
V1 V 0.000 0.000 0.000
Fe1 Fe 0.000 0.500 0.500
Sn1 Sn 0.500 0.500 0.000
H1 H 0.000 0.000 0.500

***

Record 2
# KY2Fe2 PBE-GGA optimized geometry
# - Formation enthalpy at 0 K: 0.7316 eV/atom
data_KY2Fe2
_chemical_formula_sum 'K2 Y4 Fe4'
_cell_length_a 8.453
_cell_length_b 8.453
_cell_length_c 3.180
_cell_angle_alpha 90.00
_cell_angle_beta 90.00
_cell_angle_gamma 90.00
_space_group_name_H-M_alt 'P 4/m b m'
_space_group_IT_number 127
_space_group_name_Hall '-P 4 2ab'
loop_
_atom_site_label
_atom_site_type_symbol
_atom_site_fract_x
_atom_site_fract_y
_atom_site_fract_z
K1 K 0.000 0.000 0.000
Y1 Y 0.140 0.360 0.000
Fe1 Fe 0.135 0.635 0.500

***

Record 3
# ZrIrAu2 PBE-GGA optimized geometry
# - Formation enthalpy at 0 K: 0.1154 eV/atom
data_ZrIrAu2
_chemical_formula_sum 'Zr3 Ir3 Au6'
_cell_length_a 2.9107
_cell_length_b 2.9107
_cell_length_c 29.0965
_cell_angle_alpha 90.00
_cell_angle_beta 90.00
_cell_angle_gamma 120.00
_space_group_name_H-M_alt 'R -3 m'
_space_group_IT_number 166
_space_group_name_Hall '-R 3 2"'
loop_
_atom_site_label
_atom_site_type_symbol
_atom_site_fract_x
_atom_site_fract_y
_atom_site_fract_z
Zr1 Zr 0.0000 0.0000 0.0000
Ir1 Ir 0.0000 0.0000 0.5000
Au1 Au 0.0000 0.0000 0.2473

***

Record 4
# Sr2SmTe3 PBE-GGA optimized geometry
# - Uncorrected formation energy: -1593 meV/atom
data_Sr2SmTe3
_chemical_formula_sum 'Sr32 Sm16 Te48'
_cell_length_a 9.279
_cell_length_b 13.086
_cell_length_c 27.669
_cell_angle_alpha 90.00
_cell_angle_beta 90.00
_cell_angle_gamma 90.00
_space_group_name_H-M_alt 'F d d d'
_space_group_IT_number 70
loop_
_space_group_symop_operation_xyz
'x,y,z'
'-x,-y,-z'
'-x+1/4,-y+1/4,z'
'x+1/4,y+1/4,-z'
'x,-y+1/4,-z+1/4'
'-x,y+1/4,z+1/4'
'-x+1/4,y,-z+1/4'
'x+1/4,-y,z+1/4'
'x,y+1/2,z+1/2'
'-x,-y+1/2,-z+1/2'
'-x+1/4,-y+3/4,z+1/2'
'x+1/4,y+3/4,-z+1/2'
'x,-y+3/4,-z+3/4'
'-x,y+3/4,z+3/4'
'-x+1/4,y+1/2,-z+3/4'
'x+1/4,-y+1/2,z+3/4'
'x+1/2,y,z+1/2'
'-x+1/2,-y,-z+1/2'
'-x+3/4,-y+1/4,z+1/2'
'x+3/4,y+1/4,-z+1/2'
'x+1/2,-y+1/4,-z+3/4'
'-x+1/2,y+1/4,z+3/4'
'-x+3/4,y,-z+3/4'
'x+3/4,-y,z+3/4'
'x+1/2,y+1/2,z'
'-x+1/2,-y+1/2,-z'
'-x+3/4,-y+3/4,z'
'x+3/4,y+3/4,-z'
'x+1/2,-y+3/4,-z+1/4'
'-x+1/2,y+3/4,z+1/4'
'-x+3/4,y+1/2,-z+1/4'
'x+3/4,-y+1/2,z+1/4'
loop_
_atom_site_label
_atom_site_type_symbol
_atom_site_fract_x
_atom_site_fract_y
_atom_site_fract_z
Sr1 Sr 0.125 0.125 0.043
Sr2 Sr 0.125 0.125 0.374
Sm1 Sm 0.125 0.125 0.542
Te1 Te 0.114 0.375 0.875
Te2 Te 0.119 0.370 0.710